{
  "formula": "Ba2LiAs",
  "functional": "PBE",
  "state": "relaxed",
  "density_g_cm3": 4.62,
  "formation_energy_ev_per_atom": -0.129,
  "final_energy_ev_per_atom": -2.73,
  "volume_a3_per_cell": 128.25,
  "spacegroup": "No. 216",
  "lattice": [[-3.144, -3.136, 3.510], [2.488, -3.702, 3.485], [0.125, 1.000, 5.570]],
  "species": ["Ba", "Ba", "Li", "As"],
  "fractional_positions": [[0.000, 0.000, 0.000], [0.250, 0.250, 0.250], [0.750, 0.750, 0.750], [0.500, 0.500, 0.500]]
}